Entry 1:
DFT (PBE-GGA) results for a relaxed structure of Mg6Ga2Pb.

abc: 6.618 7.393 10.040
angles: 90.00 121.97 90.00
Element x y z (fractional)
Mg 0.025 0.070 0.227
Mg 0.025 0.430 0.727
Mg 0.186 0.722 0.082
Mg 0.186 0.778 0.582
Mg 0.362 0.124 0.058
Mg 0.362 0.376 0.558
Mg 0.638 0.624 0.442
Mg 0.638 0.876 0.942
Mg 0.814 0.222 0.418
Mg 0.814 0.278 0.918
Mg 0.975 0.570 0.273
Mg 0.975 0.930 0.773
Ga 0.305 0.132 0.742
Ga 0.305 0.368 0.242
Ga 0.695 0.632 0.758
Ga 0.695 0.868 0.258
Pb 0.500 0.000 0.500
Pb 0.500 0.500 0.000

* density: 3925 kg/m3
* spin magnetization: 0.00 μB per cell
* energy relative to the elements: -8 meV per atom

=====

Entry 2:
DFT (PBE-GGA) results for a relaxed structure of Mg14GaPb.

abc: 6.373 6.373 8.988
angles: 90.00 90.00 90.00
Element x y z (fractional)
Mg 0.000 0.000 0.000
Mg 0.000 0.500 0.000
Mg 0.000 0.500 0.500
Mg 0.245 0.245 0.251
Mg 0.245 0.245 0.749
Mg 0.245 0.755 0.251
Mg 0.245 0.755 0.749
Mg 0.500 0.000 0.000
Mg 0.500 0.000 0.500
Mg 0.500 0.500 0.000
Mg 0.755 0.245 0.251
Mg 0.755 0.245 0.749
Mg 0.755 0.755 0.251
Mg 0.755 0.755 0.749
Ga 0.000 0.000 0.500
Pb 0.500 0.500 0.500

* density: 2808 kg/m3
* spin magnetization: 0.00 μB per cell
* energy relative to the elements: -19 meV per atom

=====

Entry 3:
DFT (PBE-GGA) results for a relaxed structure of MgGa6Pb2.

abc: 7.529 7.529 4.270
angles: 90.00 90.00 120.00
Element x y z (fractional)
Mg 0.000 0.000 0.000
Ga 0.000 0.332 0.500
Ga 0.000 0.668 0.500
Ga 0.332 0.000 0.500
Ga 0.332 0.332 0.500
Ga 0.668 0.000 0.500
Ga 0.668 0.668 0.500
Pb 0.333 0.667 0.000
Pb 0.667 0.333 0.000

* density: 6790 kg/m3
* spin magnetization: 0.00 μB per cell
* energy relative to the elements: 46 meV per atom

=====

Entry 4:
DFT (PBE-GGA) results for a relaxed structure of Mg12Ga6Pb.

abc: 8.153 8.153 8.153
angles: 110.66 110.66 110.66
Element x y z (fractional)
Mg 0.020 0.294 0.163
Mg 0.163 0.020 0.294
Mg 0.234 0.610 0.674
Mg 0.294 0.163 0.020
Mg 0.326 0.766 0.390
Mg 0.390 0.326 0.766
Mg 0.610 0.674 0.234
Mg 0.674 0.234 0.610
Mg 0.706 0.837 0.980
Mg 0.766 0.390 0.326
Mg 0.837 0.980 0.706
Mg 0.980 0.706 0.837
Ga 0.081 0.857 0.557
Ga 0.143 0.443 0.919
Ga 0.443 0.919 0.143
Ga 0.557 0.081 0.857
Ga 0.857 0.557 0.081
Ga 0.919 0.143 0.443
Pb 0.500 0.500 0.500

* density: 3829 kg/m3
* spin magnetization: 0.00 μB per cell
* energy relative to the elements: -83 meV per atom

=====

Entry 5:
DFT (PBE-GGA) results for a relaxed structure of Mg2Ga2Pb.

abc: 6.752 6.752 6.752
angles: 141.95 141.95 54.91
Element x y z (fractional)
Mg 0.250 0.750 0.500
Mg 0.750 0.250 0.500
Ga 0.103 0.103 0.000
Ga 0.897 0.897 0.000
Pb 0.500 0.500 0.000

* density: 5652 kg/m3
* spin magnetization: 0.00 μB per cell
* energy relative to the elements: -29 meV per atom

=====

Entry 6:
DFT (PBE-GGA) results for a relaxed structure of Mg7GaPb2.

abc: 7.343 7.343 7.343
angles: 60.00 60.00 60.00
Element x y z (fractional)
Mg 0.000 0.000 0.000
Mg 0.257 0.257 0.743
Mg 0.257 0.743 0.257
Mg 0.257 0.743 0.743
Mg 0.743 0.257 0.257
Mg 0.743 0.257 0.743
Mg 0.743 0.743 0.257
Ga 0.500 0.500 0.500
Pb 0.250 0.250 0.250
Pb 0.750 0.750 0.750

* density: 3881 kg/m3
* spin magnetization: 0.00 μB per cell
* energy relative to the elements: 303 meV per atom

=====

Entry 7:
DFT (PBE-GGA) results for a relaxed structure of Mg2Ga2Pb.

abc: 8.461 8.461 3.149
angles: 90.00 90.00 90.00
Element x y z (fractional)
Mg 0.129 0.371 0.000
Mg 0.371 0.871 0.000
Mg 0.629 0.129 0.000
Mg 0.871 0.629 0.000
Ga 0.170 0.670 0.500
Ga 0.330 0.170 0.500
Ga 0.670 0.830 0.500
Ga 0.830 0.330 0.500
Pb 0.000 0.000 0.000
Pb 0.500 0.500 0.000

* density: 5823 kg/m3
* spin magnetization: 0.00 μB per cell
* energy relative to the elements: -32 meV per atom

=====

Entry 8:
DFT (PBE-GGA) results for a relaxed structure of Mg6Ga2Pb.

abc: 8.118 8.118 8.118
angles: 114.02 113.14 101.53
Element x y z (fractional)
Mg 0.033 0.247 0.785
Mg 0.197 0.285 0.482
Mg 0.197 0.715 0.913
Mg 0.321 0.030 0.710
Mg 0.321 0.611 0.290
Mg 0.462 0.247 0.215
Mg 0.538 0.753 0.785
Mg 0.679 0.389 0.710
Mg 0.679 0.970 0.290
Mg 0.803 0.285 0.087
Mg 0.803 0.715 0.518
Mg 0.967 0.753 0.215
Ga 0.124 0.624 0.500
Ga 0.352 0.000 0.352
Ga 0.648 0.000 0.648
Ga 0.876 0.376 0.500
Pb 0.000 0.000 0.000
Pb 0.500 0.500 0.000

* density: 4029 kg/m3
* spin magnetization: 0.00 μB per cell
* energy relative to the elements: -77 meV per atom